Below is crystalline LiSbTeHBr at its relaxed geometry, with properties calculated at the GGA-PBE level.

Computed properties:
As for the raw total energy: -3.2164 eV/atom. The calculation puts the volume at 144 Å³/f.u. The energy above the most stable polymorph in this dataset is 0.137 eV per atom. The calculation puts the magnetization at 0.000 μB per atom.

Lattice parameters (Å, degrees): 4.957 5.025 6.224 89.86 89.88 67.88
Fractional coordinates of all 5 atoms:
Sb1 0.293 0.947 0.644
Li1 0.693 0.345 0.159
Te1 0.345 0.996 0.201
H1 0.078 0.743 0.619
Br1 0.741 0.398 0.737